[1]
The following is a PBE-GGA calculation of a relaxed structure of KHoI3, from the Alexandria database.

Formation energy from raw total energies, meV per atom: -1132
SG: Pm-3m
Fermi-level density of states, states/eV/f.u.: 3.628
E_tot, eV/atom: -3.197

abc: 6.024 6.024 6.024
angles: 90.00 90.00 90.00
Sites, in units of the cell vectors:
K: 0.000 0.000 0.000
Ho: 0.500 0.500 0.500
I: 0.000 0.500 0.500
I: 0.500 0.000 0.500
I: 0.500 0.500 0.000



[2]
The following is a PBE-GGA calculation of a relaxed structure of La4Tb3SmS8, from the Alexandria database.

Formation energy from raw total energies, meV per atom: -2092
SG: R-3m
Fermi-level density of states, states/eV/f.u.: 8.812
E_tot, eV/atom: -6.551

abc: 8.135 8.135 8.135
angles: 59.49 59.49 59.49
Sites, in units of the cell vectors:
La: 0.000 0.000 0.000
La: 0.000 0.500 0.500
La: 0.500 0.000 0.500
La: 0.500 0.500 0.000
Tb: 0.000 0.000 0.500
Tb: 0.000 0.500 0.000
Tb: 0.500 0.000 0.000
Sm: 0.500 0.500 0.500
S: 0.241 0.747 0.747
S: 0.244 0.244 0.244
S: 0.253 0.253 0.759
S: 0.253 0.759 0.253
S: 0.747 0.241 0.747
S: 0.747 0.747 0.241
S: 0.756 0.756 0.756
S: 0.759 0.253 0.253



[3]
The following is a PBE-GGA calculation of a relaxed structure of RbRuCl3, from the Alexandria database.

Formation energy from raw total energies, meV per atom: 557
SG: Pm-3m
Fermi-level density of states, states/eV/f.u.: 18.575
Distance to the lowest polymorph of the same formula, kJ/mol of formula units: 666
E_tot, eV/atom: -2.600

abc: 5.854 5.854 5.854
angles: 90.00 90.00 90.00
Sites, in units of the cell vectors:
Rb: 0.000 0.000 0.000
Ru: 0.500 0.500 0.500
Cl: 0.000 0.000 0.500
Cl: 0.000 0.500 0.000
Cl: 0.500 0.000 0.000



[4]
The following is a PBE-GGA calculation of a relaxed structure of LiScSb2, from the Alexandria database.

Formation energy from raw total energies, meV per atom: -554
SG: Cmmm
Fermi-level density of states, states/eV/f.u.: 1.921
Distance to the lowest polymorph of the same formula, kJ/mol of formula units: 29
E_tot, eV/atom: -4.677

abc: 3.404 3.404 8.240
angles: 90.00 90.00 101.64
Sites, in units of the cell vectors:
Li: 0.000 0.000 0.000
Sc: 0.000 0.000 0.500
Sb: 0.500 0.500 0.254
Sb: 0.500 0.500 0.746



- Which formula does entry 1 have?
  KHoI3